DFT (GGA+U) results for a geometry-optimized Sr2VMoO6 structure.

Values from the calculation:
* size of the total moment: 3.0 μB/f.u.
* VASP energy: -7.139 eV per atom
* symmetry: Cmmm, No. 65
* E above lowest polymorph: 0.026 eV per atom

Geometry as POSCAR:
```
Sr2VMoO6
1.0
3.975 -3.991 0.000
3.975 3.991 0.000
0.000 0.000 4.049
Sr V Mo O
2 1 1 6
direct
0.000 0.500 0.000
0.500 0.000 0.000
0.000 0.000 0.500
0.500 0.500 0.500
0.000 0.000 0.000
0.237 0.237 0.500
0.250 0.750 0.500
0.500 0.500 0.000
0.750 0.250 0.500
0.763 0.763 0.500
```